# PdWOF2 (GGA+U, relaxed)
# - Calculated volume: 73.4 Å³ per cell
# - Spin magnetization: 4.14 μB per formula unit
# - ΔE to the lowest computed polymorph: 889 meV per atom
# - SG: P4/mmm
data_PdWOF2
_cell_length_a 4.1563
_cell_length_b 4.1563
_cell_length_c 4.2482
_cell_angle_alpha 90.00
_cell_angle_beta 90.00
_cell_angle_gamma 90.00
_symmetry_space_group_name_H-M 'P 1'
_symmetry_Int_Tables_number 1
loop_
_symmetry_equiv_pos_as_xyz
'x,y,z'
loop_
_atom_site_label
_atom_site_type_symbol
_atom_site_fract_x
_atom_site_fract_y
_atom_site_fract_z
Pd1 Pd 0.0000 0.0000 0.0000
F1 F 0.5000 0.0000 0.0000
F2 F 0.0000 0.5000 0.0000
O1 O 0.0000 0.0000 0.5000
W1 W 0.5000 0.5000 0.5000